(1)
VASP calculation (GGA-PBE) on a relaxed Sc2NbTc crystal.

Properties
**DOS(E_F)**: 5.1 states/eV/f.u.
**DFT formation energy**: 0.1728 eV per atom
**Final energy**: -8.102 eV per atom
**Size of the total moment**: 2.5 μB/f.u.

Lattice parameters (Å, degrees): 4.7373 4.7373 4.7373 60.00 60.00 60.00
Site moments in Bohr magnetons follow the coordinates.
Positions (direct):
Sc1 0.2500 0.2500 0.2500  0.26
Sc2 0.7500 0.7500 0.7500  0.26
Nb1 0.0000 0.0000 0.0000  1.47
Tc1 0.5000 0.5000 0.5000  0.08

---

(2)
VASP calculation (GGA-PBE) on a relaxed Hf2BiAu crystal.

Properties
**DOS(E_F)**: 2.2 states/eV/f.u.
**DFT formation energy**: -0.1126 eV per atom
**Final energy**: -6.879 eV per atom
**Size of the total moment**: 0.0 μB/f.u.

Lattice parameters (Å, degrees): 3.9222 3.9222 7.5896 75.03 75.03 60.00
Positions (direct):
Hf1 0.2592 0.2592 0.2224
Hf2 0.7408 0.7408 0.7776
Au1 0.0000 0.0000 0.0000
Bi1 0.5000 0.5000 0.5000

---

(3)
VASP calculation (GGA-PBE) on a relaxed ThZrCoTc crystal.

Properties
**DOS(E_F)**: 2.4 states/eV/f.u.
**DFT formation energy**: -0.1608 eV per atom
**Final energy**: -8.521 eV per atom
**Size of the total moment**: 0.6 μB/f.u.

Lattice parameters (Å, degrees): 4.7913 4.7913 4.7913 60.00 60.00 60.00
Site moments in Bohr magnetons follow the coordinates.
Positions (direct):
Zr1 0.5000 0.5000 0.5000  -0.07
Co1 0.2500 0.2500 0.2500  0.78
Tc1 0.7500 0.7500 0.7500  0.07
Th1 0.0000 0.0000 0.0000  -0.09

---

(4)
VASP calculation (GGA-PBE) on a relaxed Pr3BeCl3 crystal.

Properties
**E_form (uncorrected)**: -869.7 kJ/mol of formula units
**DOS(E_F)**: 5.4 states/eV/f.u.
**Final energy**: -4.660 eV per atom
**Size of the total moment**: 0.0 μB/f.u.

Lattice parameters (Å, degrees): 10.0940 10.0940 10.0940 109.47 109.47 109.47
Positions (direct):
Pr1 0.9881 0.4941 0.2441
Pr2 0.5059 0.0119 0.2559
Pr3 0.2500 0.0059 0.4941
Pr4 0.9941 0.7500 0.0059
Pr5 0.9941 0.2441 0.4881
Pr6 0.7559 0.0059 0.0119
Pr7 0.7441 0.4881 0.4941
Pr8 0.7559 0.7500 0.2441
Pr9 0.5119 0.2559 0.0059
Pr10 0.2500 0.2441 0.2559
Pr11 0.7441 0.2559 0.7500
Pr12 0.5059 0.4941 0.7500
Be1 0.7500 0.5000 0.0000
Be2 0.5000 0.2500 0.5000
Be3 0.7500 0.2500 0.2500
Be4 0.0000 0.0000 0.2500
Cl1 0.2455 0.9955 0.9910
Cl2 0.7500 0.7545 0.7455
Cl3 0.4910 0.7455 0.9955
Cl4 0.0045 0.2500 0.9955
Cl5 0.2545 0.7455 0.2500
Cl6 0.4955 0.5045 0.2500
Cl7 0.2455 0.2500 0.7545
Cl8 0.2545 0.5090 0.5045
Cl9 0.7500 0.9955 0.5045
Cl10 0.0090 0.5045 0.7545
Cl11 0.0045 0.7545 0.5090
Cl12 0.4955 0.9910 0.7455